A plane-wave DFT calculation with GGA-PBEsol was carried out for a relaxed FeAsW2 crystal.

Unit cell a=8.6703 b=8.6703 c=8.6703 alpha=18.54 beta=18.54 gamma=18.54
Sites, in units of the cell vectors:
Fe 0.0000 0.0000 0.0000
As 0.5000 0.5000 0.5000
W 0.2541 0.2541 0.2541
W 0.7459 0.7459 0.7459

## Properties
ΔH_f (0 K)	0.390	eV per atom
total magnetization	0.87	μB/cell
calculated density	14.381	g cm⁻³